## CeDyGa2 (GGA-PBE)

Data for CeDyGa2 after structural relaxation.

Final energy in eV/atom: -4.477

Cell: 3.6093 3.6093 26.9262 Å, 90.00 90.00 120.00°
Space group R-3m (No. 166, hexagonal axes)
Asymmetric unit:
1 Ce 0.0000 0.0000 0.0000 [3 per cell]
2 Dy 0.0000 0.0000 0.5000 [3 per cell]
3 Ga 0.0000 0.0000 0.2481 [6 per cell]